Computed, not measured: a geometry-optimized CaThV2O8 structure at the GGA+U level of DFT.

Cell: 7.364 7.364 6.495 Å, 90.00 90.00 90.00°
Space group I-4m2 (No. 119)
Inequivalent atoms, fractional coordinates:
Ca  0.000  0.000  0.000 [2 per cell]
Th  0.000  0.500  0.750 [2 per cell]
V  0.000  0.000  0.500 [2 per cell]
V  0.000  0.500  0.250 [2 per cell]
O  0.000  0.185  0.667 [8 per cell]
O  0.000  0.321  0.074 [8 per cell]

ρ   4.7 g/cm3
Uncorrected energy   -8.03 eV per atom